No. 1
The following is a PBEsol calculation of a relaxed Cu3IrPt crystal, from Alexandria.

Properties
- total DFT energy (no corrections) (eV per cell) = -21.5
- formation enthalpy at 0 K (eV/atom) = 1.661
- density (g cm⁻³) = 10.69

Cell and atoms, written as CIF:
```
data_Cu3IrPt
_space_group_name_H-M_alt 'P m -3 m'
_space_group_IT_number 221
_space_group_name_Hall '-P 4 2 3'
_cell_length_a 4.4783
_cell_length_b 4.4783
_cell_length_c 4.4783
_cell_angle_alpha 90.00
_cell_angle_beta 90.00
_cell_angle_gamma 90.00
loop_
_atom_site_label
_atom_site_type_symbol
_atom_site_fract_x
_atom_site_fract_y
_atom_site_fract_z
_atom_site_occupancy
Cu1 Cu 0.0000 0.0000 0.5000 1
Ir1 Ir 0.5000 0.5000 0.5000 1
Pt1 Pt 0.0000 0.0000 0.0000 1
```



No. 2
The following is a PBEsol calculation of a relaxed ZnCu2IrPt crystal, from Alexandria.

Properties
- total DFT energy (no corrections) (eV per cell) = -20.9
- formation enthalpy at 0 K (eV/atom) = 1.228
- density (g cm⁻³) = 9.65

Cell and atoms, written as CIF:
```
data_ZnCu2IrPt
_space_group_name_H-M_alt 'P 4/m m m'
_space_group_IT_number 123
_space_group_name_Hall '-P 4 2'
_cell_length_a 4.5981
_cell_length_b 4.5981
_cell_length_c 4.7195
_cell_angle_alpha 90.00
_cell_angle_beta 90.00
_cell_angle_gamma 90.00
loop_
_atom_site_label
_atom_site_type_symbol
_atom_site_fract_x
_atom_site_fract_y
_atom_site_fract_z
_atom_site_occupancy
Zn1 Zn 0.0000 0.0000 0.0000 1
Cu1 Cu 0.0000 0.5000 0.5000 1
Ir1 Ir 0.5000 0.5000 0.5000 1
Pt1 Pt 0.5000 0.5000 0.0000 1
```